No. 1
# CdNi2Cl (PBE-GGA, relaxed)
# ΔE_f (raw) (eV/atom): 0.43
# D(E_F) (states/eV per cell): 4.45
# Space-group type: C2/m, No. 12
# Energy above the lowest structure with this stoichiometry (eV/atom): 0.394
data_CdNi2Cl
_space_group_name_H-M_alt 'P 1'
_space_group_IT_number 1
_space_group_name_Hall 'P 1'
_cell_length_a 4.927
_cell_length_b 5.166
_cell_length_c 2.994
_cell_angle_alpha 73.73
_cell_angle_beta 88.84
_cell_angle_gamma 118.10
loop_
_atom_site_label
_atom_site_type_symbol
_atom_site_fract_x
_atom_site_fract_y
_atom_site_fract_z
Cd1 Cd 0.000 0.500 0.500
Cl1 Cl 0.500 0.500 0.000
Ni1 Ni 0.000 0.000 0.000
Ni2 Ni 0.500 0.000 0.500

***

No. 2
# CdNiCl3 (PBE-GGA, relaxed)
# ΔE_f (raw) (eV/atom): -0.01
# D(E_F) (states/eV per cell): 22.97
# Space-group type: Pm-3m, No. 221
# Energy above the lowest structure with this stoichiometry (eV/atom): 0.392
data_CdNiCl3
_space_group_name_H-M_alt 'P 1'
_space_group_IT_number 1
_space_group_name_Hall 'P 1'
_cell_length_a 5.155
_cell_length_b 5.155
_cell_length_c 5.155
_cell_angle_alpha 90.00
_cell_angle_beta 90.00
_cell_angle_gamma 90.00
loop_
_atom_site_label
_atom_site_type_symbol
_atom_site_fract_x
_atom_site_fract_y
_atom_site_fract_z
Ni1 Ni 0.500 0.500 0.500
Cl1 Cl 0.000 0.500 0.000
Cl2 Cl 0.000 0.000 0.500
Cl3 Cl 0.500 0.000 0.000
Cd1 Cd 0.000 0.000 0.000

***

No. 3
# CdNi2Cl (PBE-GGA, relaxed)
# ΔE_f (raw) (eV/atom): 0.31
# D(E_F) (states/eV per cell): 5.53
# Space-group type: I-42d, No. 122
# Energy above the lowest structure with this stoichiometry (eV/atom): 0.280
data_CdNi2Cl
_space_group_name_H-M_alt 'P 1'
_space_group_IT_number 1
_space_group_name_Hall 'P 1'
_cell_length_a 4.689
_cell_length_b 4.689
_cell_length_c 7.609
_cell_angle_alpha 72.05
_cell_angle_beta 72.05
_cell_angle_gamma 90.00
loop_
_atom_site_label
_atom_site_type_symbol
_atom_site_fract_x
_atom_site_fract_y
_atom_site_fract_z
Ni1 Ni 0.485 0.125 0.250
Ni2 Ni 0.265 0.625 0.250
Ni3 Ni 0.375 0.515 0.750
Ni4 Ni 0.875 0.735 0.750
Cl1 Cl 0.500 0.500 0.000
Cl2 Cl 0.250 0.750 0.500
Cd1 Cd 0.000 0.000 0.000
Cd2 Cd 0.750 0.250 0.500

***

No. 4
# CdNi2Cl (PBE-GGA, relaxed)
# ΔE_f (raw) (eV/atom): 0.21
# D(E_F) (states/eV per cell): 3.95
# Space-group type: R-3m, No. 166
# Energy above the lowest structure with this stoichiometry (eV/atom): 0.180
data_CdNi2Cl
_space_group_name_H-M_alt 'P 1'
_space_group_IT_number 1
_space_group_name_Hall 'P 1'
_cell_length_a 7.813
_cell_length_b 7.813
_cell_length_c 7.813
_cell_angle_alpha 22.48
_cell_angle_beta 22.48
_cell_angle_gamma 22.48
loop_
_atom_site_label
_atom_site_type_symbol
_atom_site_fract_x
_atom_site_fract_y
_atom_site_fract_z
Cd1 Cd 0.250 0.250 0.250
Cl1 Cl 0.750 0.750 0.750
Ni1 Ni 0.008 0.008 0.008
Ni2 Ni 0.492 0.492 0.492

***

No. 5
# CdNi2Cl (PBE-GGA, relaxed)
# ΔE_f (raw) (eV/atom): 0.29
# D(E_F) (states/eV per cell): 4.57
# Space-group type: Cmmm, No. 65
# Energy above the lowest structure with this stoichiometry (eV/atom): 0.255
data_CdNi2Cl
_space_group_name_H-M_alt 'P 1'
_space_group_IT_number 1
_space_group_name_Hall 'P 1'
_cell_length_a 3.024
_cell_length_b 3.024
_cell_length_c 7.893
_cell_angle_alpha 90.00
_cell_angle_beta 90.00
_cell_angle_gamma 118.96
loop_
_atom_site_label
_atom_site_type_symbol
_atom_site_fract_x
_atom_site_fract_y
_atom_site_fract_z
Cd1 Cd 0.500 0.500 0.250
Cl1 Cl 0.500 0.500 0.750
Ni1 Ni 0.000 0.000 0.978
Ni2 Ni 0.000 0.000 0.522

***

No. 6
# CdNi2Cl (PBE-GGA, relaxed)
# ΔE_f (raw) (eV/atom): 0.09
# D(E_F) (states/eV per cell): 2.56
# Space-group type: P4mm, No. 99
# Energy above the lowest structure with this stoichiometry (eV/atom): 0.058
data_CdNi2Cl
_space_group_name_H-M_alt 'P 1'
_space_group_IT_number 1
_space_group_name_Hall 'P 1'
_cell_length_a 3.180
_cell_length_b 3.178
_cell_length_c 6.671
_cell_angle_alpha 90.00
_cell_angle_beta 90.00
_cell_angle_gamma 90.00
loop_
_atom_site_label
_atom_site_type_symbol
_atom_site_fract_x
_atom_site_fract_y
_atom_site_fract_z
Cd1 Cd 0.000 0.000 0.424
Cl1 Cl 0.500 0.500 0.856
Ni1 Ni 0.000 0.000 0.020
Ni2 Ni 0.500 0.500 0.200

***

No. 7
# CdNiCl4 (PBE-GGA, relaxed)
# ΔE_f (raw) (eV/atom): 0.76
# D(E_F) (states/eV per cell): 9.80
# Space-group type: F-43m, No. 216
# Energy above the lowest structure with this stoichiometry (eV/atom): 1.565
data_CdNiCl4
_space_group_name_H-M_alt 'P 1'
_space_group_IT_number 1
_space_group_name_Hall 'P 1'
_cell_length_a 5.873
_cell_length_b 5.873
_cell_length_c 5.873
_cell_angle_alpha 60.00
_cell_angle_beta 60.00
_cell_angle_gamma 60.00
loop_
_atom_site_label
_atom_site_type_symbol
_atom_site_fract_x
_atom_site_fract_y
_atom_site_fract_z
Cd1 Cd 0.000 0.000 0.000
Ni1 Ni 0.750 0.750 0.750
Cl1 Cl 0.876 0.375 0.375
Cl2 Cl 0.375 0.375 0.876
Cl3 Cl 0.375 0.876 0.375
Cl4 Cl 0.375 0.375 0.375

***

No. 8
# Cd2NiCl6 (PBE-GGA, relaxed)
# ΔE_f (raw) (eV/atom): -0.85
# Space-group type: P4_2/mnm, No. 136
# Energy above the lowest structure with this stoichiometry (eV/atom): 0.046
data_Cd2NiCl6
_space_group_name_H-M_alt 'P 1'
_space_group_IT_number 1
_space_group_name_Hall 'P 1'
_cell_length_a 6.123
_cell_length_b 6.123
_cell_length_c 11.500
_cell_angle_alpha 90.00
_cell_angle_beta 90.00
_cell_angle_gamma 90.00
loop_
_atom_site_label
_atom_site_type_symbol
_atom_site_fract_x
_atom_site_fract_y
_atom_site_fract_z
Cd1 Cd 0.000 0.000 0.334
Cd2 Cd 0.500 0.500 0.834
Cd3 Cd 0.500 0.500 0.166
Cd4 Cd 0.000 0.000 0.666
Ni1 Ni 0.000 0.000 0.000
Ni2 Ni 0.500 0.500 0.500
Cl1 Cl 0.314 0.314 0.347
Cl2 Cl 0.686 0.686 0.347
Cl3 Cl 0.186 0.814 0.847
Cl4 Cl 0.814 0.186 0.847
Cl5 Cl 0.186 0.814 0.153
Cl6 Cl 0.814 0.186 0.153
Cl7 Cl 0.314 0.314 0.653
Cl8 Cl 0.686 0.686 0.653
Cl9 Cl 0.289 0.289 0.000
Cl10 Cl 0.711 0.711 0.000
Cl11 Cl 0.211 0.789 0.500
Cl12 Cl 0.789 0.211 0.500

***

Number 1: total magnetic moment 0.5 μB per formula unit. Number 2: total magnetic moment 1.0 μB per formula unit. Number 3: total magnetic moment 0.0 μB per formula unit. Number 4: total magnetic moment 0.9 μB per formula unit. Number 5: total magnetic moment 0.9 μB per formula unit. Number 6: total magnetic moment 1.0 μB per formula unit. Number 7: total magnetic moment 2.9 μB per formula unit. Number 8: total magnetic moment 2.0 μB per formula unit.